[1]
VASP calculation (GGA-PBE) on a relaxed structure of AcYPdRh.

Values from the calculation:
DFT formation energy, eV per atom: -0.687
DOS(E_F), states/eV per cell: 3.0
SG: F-43m (216)

a = 5.1236 Å, b = 5.1236 Å, c = 5.1236 Å
α = 60.00°, β = 60.00°, γ = 60.00°
Closest atoms and distances in Å follow each position.
Positions (direct):
Ac  0.0000  0.0000  0.0000  4 Pd 3.14, 4 Rh 3.14
Y  0.5000  0.5000  0.5000  4 Rh 3.14, 4 Pd 3.14
Pd  0.7500  0.7500  0.7500  4 Y 3.14, 4 Ac 3.14
Rh  0.2500  0.2500  0.2500  4 Y 3.14, 4 Ac 3.14



[2]
VASP calculation (GGA-PBE) on a relaxed structure of AcZnPdRh.

Values from the calculation:
DFT formation energy, eV per atom: -0.415
DOS(E_F), states/eV per cell: 2.4
Energy relative to the lowest polymorph listed for this composition, meV per atom: 230
SG: F-43m (216)

a = 4.8789 Å, b = 4.8789 Å, c = 4.8789 Å
α = 60.00°, β = 60.00°, γ = 60.00°
Closest atoms and distances in Å follow each position.
Positions (direct):
Ac  0.0000  0.0000  0.0000  4 Rh 2.99, 4 Pd 2.99
Zn  0.5000  0.5000  0.5000  4 Rh 2.99, 4 Pd 2.99
Pd  0.2500  0.2500  0.2500  4 Zn 2.99, 4 Ac 2.99
Rh  0.7500  0.7500  0.7500  4 Zn 2.99, 4 Ac 2.99



[3]
VASP calculation (GGA-PBE) on a relaxed structure of AcZnPdRh.

Values from the calculation:
DFT formation energy, eV per atom: -0.646
DOS(E_F), states/eV per cell: 1.5
Energy relative to the lowest polymorph listed for this composition, meV per atom: 0
SG: Cm (8)

a = 4.4138 Å, b = 4.4138 Å, c = 5.6793 Å
α = 112.61°, β = 112.61°, γ = 59.97°
Closest atoms and distances in Å follow each position.
Positions (direct):
Ac  0.0000  0.0000  0.0000  4 Pd 3.14-3.21, 4 Rh 3.16-3.20
Zn  0.4938  0.4938  0.4803  3 Rh 2.61, 3 Pd 2.64
Pd  0.2061  0.2061  0.6176  3 Zn 2.64, 3 Rh 2.84
Rh  0.7912  0.7912  0.3720  3 Zn 2.61, 3 Pd 2.84